VASP calculation (PBE-GGA) on a relaxed structure of Er3AlRh.

Properties
* total energy: -27.52 eV/f.u.
* DOS(E_F): 12.61 states/eV per cell
* energy of formation: -0.548 eV per atom

Cell and atoms, written as CIF:
```
data_Er3AlRh
_chemical_formula_sum 'Er12 Al4 Rh4'
_cell_length_a 9.222
_cell_length_b 6.357
_cell_length_c 9.260
_cell_angle_alpha 90.00
_cell_angle_beta 119.78
_cell_angle_gamma 90.00
_symmetry_space_group_name_H-M 'C 1 2/m 1'
_symmetry_Int_Tables_number 12
loop_
_symmetry_equiv_pos_as_xyz
'x,y,z'
'-x,-y,-z'
'-x,y,-z'
'x,-y,z'
'x+1/2,y+1/2,z'
'-x+1/2,-y+1/2,-z'
'-x+1/2,y+1/2,-z'
'x+1/2,-y+1/2,z'
loop_
_atom_site_label
_atom_site_type_symbol
_atom_site_fract_x
_atom_site_fract_y
_atom_site_fract_z
_atom_site_occupancy
Er1 Er 0.084 0.000 0.294 1
Er2 Er 0.196 0.500 0.893 1
Er3 Er 0.209 0.500 0.296 1
Al1 Al 0.000 0.303 0.500 1
Rh1 Rh 0.000 0.250 0.000 1
```

VASP calculation (PBE-GGA) on a relaxed structure of Bi3Pd3Pt2.

Properties
* total energy: -40.68 eV/f.u.
* DOS(E_F): 7.81 states/eV per cell
* energy of formation: -0.172 eV per atom

Cell and atoms, written as CIF:
```
data_Bi3Pd3Pt2
_chemical_formula_sum 'Bi6 Pd6 Pt4'
_cell_length_a 19.136
_cell_length_b 3.744
_cell_length_c 4.543
_cell_angle_alpha 90.00
_cell_angle_beta 99.70
_cell_angle_gamma 90.00
_symmetry_space_group_name_H-M 'C 1 2/m 1'
_symmetry_Int_Tables_number 12
loop_
_symmetry_equiv_pos_as_xyz
'x,y,z'
'-x,-y,-z'
'-x,y,-z'
'x,-y,z'
'x+1/2,y+1/2,z'
'-x+1/2,-y+1/2,-z'
'-x+1/2,y+1/2,-z'
'x+1/2,-y+1/2,z'
loop_
_atom_site_label
_atom_site_type_symbol
_atom_site_fract_x
_atom_site_fract_y
_atom_site_fract_z
_atom_site_occupancy
Bi1 Bi 0.000 0.000 0.000 1
Bi2 Bi 0.142 0.000 0.598 1
Pd1 Pd 0.000 0.500 0.500 1
Pd2 Pd 0.126 0.500 0.078 1
Pt1 Pt 0.247 0.000 0.230 1
```